1 | A plane-wave DFT calculation with PBE was carried out for an optimized crystal structure of SbAuIO2.

The structure in POSCAR format:
```
SbAuIO2
1.0
4.031 0.000 0.000
0.000 4.031 0.000
0.000 0.000 7.056
Sb Au I O
1 1 1 2
Direct
0.000 0.000 0.000 Sb
0.500 0.500 0.500 Au
0.000 0.000 0.500 I
0.000 0.500 0.000 O
0.500 0.000 0.000 O
```

Calculated values
* density of states at the Fermi level: 1.13 states/eV/cell



2 | A plane-wave DFT calculation with PBE was carried out for an optimized crystal structure of SbAuIO2.

The structure in POSCAR format:
```
SbAuIO2
1.0
4.349 0.000 0.000
0.000 4.349 0.000
0.000 0.000 5.343
Sb Au I O
1 1 1 2
Direct
0.000 0.000 0.000 Sb
0.500 0.500 0.500 Au
0.500 0.500 0.000 I
0.000 0.500 0.500 O
0.500 0.000 0.500 O
```

Calculated values
* density of states at the Fermi level: 2.60 states/eV/cell



1 is the most stable structure; the next one sits 89.0 kJ/mol of atoms above it.



1 | A plane-wave DFT calculation with PBE was carried out for an optimized crystal structure of ScAuI2O.

The structure in POSCAR format:
```
ScAuI2O
1.0
5.914 0.000 0.000
0.000 5.914 0.000
0.000 0.000 3.855
Sc Au I O
1 1 2 1
Direct
0.000 0.000 0.000 Sc
0.500 0.500 0.500 Au
0.000 0.500 0.000 I
0.500 0.000 0.000 I
0.000 0.000 0.500 O
```

Calculated values
* density of states at the Fermi level: 1.47 states/eV/cell



2 | A plane-wave DFT calculation with PBE was carried out for an optimized crystal structure of ScAuI2O.

The structure in POSCAR format:
```
ScAuI2O
1.0
5.829 0.000 0.000
0.000 5.829 0.000
0.000 0.000 3.978
Sc Au I O
1 1 2 1
Direct
0.000 0.000 0.000 Sc
0.500 0.500 0.500 Au
0.000 0.500 0.500 I
0.500 0.000 0.500 I
0.500 0.500 0.000 O
```

Calculated values
* density of states at the Fermi level: 5.49 states/eV/cell



1 is the most stable structure; the next one sits 90.9 kJ/mol of atoms above it.



1 | A plane-wave DFT calculation with PBE was carried out for an optimized crystal structure of AuSeIO2.

The structure in POSCAR format:
```
AuSeIO2
1.0
4.004 0.000 0.000
0.000 4.004 0.000
0.000 0.000 8.174
Au Se I O
1 1 1 2
Direct
0.000 0.000 0.000 Au
0.500 0.500 0.500 Se
0.000 0.000 0.500 I
0.000 0.500 0.000 O
0.500 0.000 0.000 O
```

Calculated values
* density of states at the Fermi level: 4.91 states/eV/cell



2 | A plane-wave DFT calculation with PBE was carried out for an optimized crystal structure of AuSeIO2.

The structure in POSCAR format:
```
AuSeIO2
1.0
3.898 0.000 0.000
0.000 3.898 0.000
0.000 0.000 7.882
Au Se I O
1 1 1 2
Direct
0.000 0.000 0.000 Au
0.500 0.500 0.500 Se
0.500 0.500 0.000 I
0.000 0.500 0.500 O
0.500 0.000 0.500 O
```

Calculated values
* density of states at the Fermi level: 3.83 states/eV/cell



2 is the most stable structure; the next one sits 40.5 kJ/mol of atoms above it.